[1]
The following is a GGA-PBE calculation of an optimized crystal structure of CrMoW2, from Alexandria via LeMat-Bulk.

The crystal system is tetragonal. The calculation puts the energy above the most stable polymorph in this dataset at 0.926 eV per atom.

The structure belongs to space group I-42d (No. 122); the cell edges are 6.995, 6.995 and 5.284 Å and the angles 90.00°, 90.00° and 90.00°. The asymmetric unit holds Cr at (0.000, 0.000, 0.000), Mo at (0.000, 0.000, 0.500) and W at (0.232, 0.250, 0.125).

***

[2]
The following is a GGA-PBE calculation of an optimized crystal structure of CrMo2W8, from Alexandria via LeMat-Bulk.

The crystal system is triclinic.

The structure belongs to space group P-1 (No. 2); the cell edges are 5.107, 6.304 and 6.514 Å and the angles 102.10°, 109.79° and 103.64°. The asymmetric unit holds Cr at (0.000, 0.000, 0.000), Mo at (0.216, 0.449, 0.370), W at (0.226, 0.720, 0.112), W at (0.240, 0.066, 0.446), W at (0.266, 0.330, 0.833) and W at (0.380, 0.817, 0.779).

***

[3]
The following is a GGA-PBE calculation of an optimized crystal structure of CrMoW2, from Alexandria via LeMat-Bulk.

The crystal system is tetragonal. The calculation puts the energy above the most stable polymorph in this dataset at 0.000 eV per atom.

The structure belongs to space group P4/mmm (No. 123); the cell edges are 3.109, 3.109 and 6.215 Å and the angles 90.00°, 90.00° and 90.00°. The asymmetric unit holds Cr at (0.000, 0.000, 0.000), Mo at (0.000, 0.000, 0.500) and W at (0.500, 0.500, 0.241).

***

[4]
The following is a GGA-PBE calculation of an optimized crystal structure of CrMoW2, from Alexandria via LeMat-Bulk.

The crystal system is orthorhombic. The calculation puts the energy above the most stable polymorph in this dataset at 0.019 eV per atom.

The structure belongs to space group Imm2 (No. 44); the cell edges are 3.115, 4.404 and 8.784 Å and the angles 90.00°, 90.00° and 90.00°. The asymmetric unit holds Cr at (0.000, 0.000, 0.000), Mo at (0.000, 0.500, 0.748), W at (0.000, 0.000, 0.500) and W at (0.000, 0.500, 0.253).

***

It is found that the E_form values, taken in the order of the records, are 0.96, 0.50, 0.03, 0.05 eV/atom.
It is found that the final energy values, taken in the order of the records, are -10.63, -11.76, -11.56, -11.54 eV per atom.